i.
Density functional theory data (PBE-GGA) for a relaxed structure of Ho4ZnHg3.

Computed properties:
total moment = 0.0 Bohr magnetons per cell
calculated volume = 203.9 Å³/cell

a b c (Å): 3.792 4.705 11.427
angles (deg): 90.00 90.00 90.00
Space group Pmm2 (No. 25)
Asymmetric unit:
Ho1 0.000 0.000 0.000 [1 per cell]
Ho2 0.000 0.500 0.289 [1 per cell]
Ho3 0.500 0.000 0.487 [1 per cell]
Ho4 0.500 0.500 0.792 [1 per cell]
Zn1 0.500 0.000 0.223 [1 per cell]
Hg1 0.000 0.000 0.730 [1 per cell]
Hg2 0.000 0.500 0.557 [1 per cell]
Hg3 0.500 0.500 0.065 [1 per cell]

---

ii.
Density functional theory data (PBE-GGA) for a relaxed structure of Ho4ZnHg3.

Computed properties:
total moment = 0.0 Bohr magnetons per cell
calculated volume = 197.2 Å³/cell

a b c (Å): 3.651 3.651 14.798
angles (deg): 90.00 90.00 90.00
Space group P4/mmm (No. 123)
Asymmetric unit:
Ho1 0.000 0.000 0.115 [2 per cell]
Ho2 0.000 0.000 0.372 [2 per cell]
Zn1 0.500 0.500 0.000 [1 per cell]
Hg1 0.500 0.500 0.243 [2 per cell]
Hg2 0.500 0.500 0.500 [1 per cell]

---

The structure with the most favorable energy is ii; the runner-up is 4.2 kJ/mol of atoms above it.